1.
Here is an optimized crystal structure of KAs2Os from Alexandria via LeMat-Bulk. Energies are from PBE.

Calculated values
Fermi-level density of states   3.074 states/eV/cell
Formation enthalpy at 0 K   -0.0495 eV per atom
Theoretical density   7.18 Mg/m³
Calculated volume   21.9 A^3/atom

Cell and atoms, written as CIF:
```
data_KAs2Os
_cell_length_a 7.619
_cell_length_b 3.176
_cell_length_c 7.359
_cell_angle_alpha 90.00
_cell_angle_beta 99.76
_cell_angle_gamma 90.00
_symmetry_space_group_name_H-M 'C 1 2/m 1'
_symmetry_Int_Tables_number 12
loop_
_symmetry_equiv_pos_as_xyz
'x,y,z'
'-x,-y,-z'
'-x,y,-z'
'x,-y,z'
'x+1/2,y+1/2,z'
'-x+1/2,-y+1/2,-z'
'-x+1/2,y+1/2,-z'
'x+1/2,-y+1/2,z'
loop_
_atom_site_label
_atom_site_type_symbol
_atom_site_fract_x
_atom_site_fract_y
_atom_site_fract_z
K1 K 0.000 0.000 0.000
As1 As 0.229 0.000 0.668
Os1 Os 0.000 0.500 0.500
```

---

2.
Here is an optimized crystal structure of KAs2Os from Alexandria via LeMat-Bulk. Energies are from PBE.

Calculated values
Fermi-level density of states   17.540 states/eV/cell
Formation enthalpy at 0 K   1.1453 eV per atom
Theoretical density   8.19 Mg/m³
Calculated volume   19.2 A^3/atom

Cell and atoms, written as CIF:
```
data_KAs2Os
_cell_length_a 6.749
_cell_length_b 6.749
_cell_length_c 6.749
_cell_angle_alpha 90.00
_cell_angle_beta 90.00
_cell_angle_gamma 90.00
_symmetry_space_group_name_H-M 'F -4 3 m'
_symmetry_Int_Tables_number 216
_symmetry_space_group_name_Hall 'F -4 2 3'
loop_
_atom_site_label
_atom_site_type_symbol
_atom_site_fract_x
_atom_site_fract_y
_atom_site_fract_z
K1 K 0.000 0.000 0.000
As1 As 0.000 0.000 0.500
As2 As 0.250 0.250 0.750
Os1 Os 0.250 0.250 0.250
```

---

3.
Here is an optimized crystal structure of KAsOs from Alexandria via LeMat-Bulk. Energies are from PBE.

Calculated values
Fermi-level density of states   0.927 states/eV/cell
Formation enthalpy at 0 K   0.2415 eV per atom
Theoretical density   7.83 Mg/m³
Calculated volume   21.5 A^3/atom

Cell and atoms, written as CIF:
```
data_KAsOs
_cell_length_a 3.204
_cell_length_b 3.204
_cell_length_c 12.562
_cell_angle_alpha 90.00
_cell_angle_beta 90.00
_cell_angle_gamma 90.00
_symmetry_space_group_name_H-M 'I 4 m m'
_symmetry_Int_Tables_number 107
_symmetry_space_group_name_Hall 'I 4 -2'
loop_
_atom_site_label
_atom_site_type_symbol
_atom_site_fract_x
_atom_site_fract_y
_atom_site_fract_z
K1 K 0.000 0.000 0.000
As1 As 0.000 0.000 0.291
Os1 Os 0.000 0.000 0.707
```

---

4.
Here is an optimized crystal structure of KAs2Os from Alexandria via LeMat-Bulk. Energies are from PBE.

Calculated values
Fermi-level density of states   3.675 states/eV/cell
Formation enthalpy at 0 K   0.3002 eV per atom
Theoretical density   5.94 Mg/m³
Calculated volume   26.5 A^3/atom

Cell and atoms, written as CIF:
```
data_KAs2Os
_cell_length_a 4.114
_cell_length_b 6.456
_cell_length_c 7.979
_cell_angle_alpha 90.00
_cell_angle_beta 90.00
_cell_angle_gamma 90.00
_symmetry_space_group_name_H-M 'I m m m'
_symmetry_Int_Tables_number 71
_symmetry_space_group_name_Hall '-I 2 2'
loop_
_atom_site_label
_atom_site_type_symbol
_atom_site_fract_x
_atom_site_fract_y
_atom_site_fract_z
K1 K 0.000 0.000 0.000
As1 As 0.000 0.500 0.161
Os1 Os 0.000 0.000 0.500
```

---

5.
Here is an optimized crystal structure of K3AsOs from Alexandria via LeMat-Bulk. Energies are from PBE.

Calculated values
Fermi-level density of states   17.094 states/eV/cell
Formation enthalpy at 0 K   1.2122 eV per atom
Theoretical density   2.56 Mg/m³
Calculated volume   49.5 A^3/atom

Cell and atoms, written as CIF:
```
data_K3AsOs
_cell_length_a 6.280
_cell_length_b 6.280
_cell_length_c 6.280
_cell_angle_alpha 90.00
_cell_angle_beta 90.00
_cell_angle_gamma 90.00
_symmetry_space_group_name_H-M 'P m -3 m'
_symmetry_Int_Tables_number 221
_symmetry_space_group_name_Hall '-P 4 2 3'
loop_
_atom_site_label
_atom_site_type_symbol
_atom_site_fract_x
_atom_site_fract_y
_atom_site_fract_z
K1 K 0.000 0.000 0.500
As1 As 0.000 0.000 0.000
Os1 Os 0.500 0.500 0.500
```

---

6.
Here is an optimized crystal structure of KAsOs from Alexandria via LeMat-Bulk. Energies are from PBE.

Calculated values
Fermi-level density of states   28.522 states/eV/cell
Formation enthalpy at 0 K   2.3324 eV per atom
Theoretical density   6.31 Mg/m³
Calculated volume   26.7 A^3/atom

Cell and atoms, written as CIF:
```
data_KAsOs
_cell_length_a 6.840
_cell_length_b 6.840
_cell_length_c 6.840
_cell_angle_alpha 90.00
_cell_angle_beta 90.00
_cell_angle_gamma 90.00
_symmetry_space_group_name_H-M 'F -4 3 m'
_symmetry_Int_Tables_number 216
_symmetry_space_group_name_Hall 'F -4 2 3'
loop_
_atom_site_label
_atom_site_type_symbol
_atom_site_fract_x
_atom_site_fract_y
_atom_site_fract_z
K1 K 0.000 0.000 0.000
As1 As 0.250 0.250 0.250
Os1 Os 0.250 0.250 0.750
```